The following is a GGA-PBEsol calculation of a relaxed structure of La7Mo7O30, from the Alexandria database.

The space group is R-3 (No. 148, hexagonal axes) and the conventional cell measures 16.9508, 16.9508 and 6.7735 Å, with angles of 90.00, 90.00 and 120.00 degrees. The inequivalent atoms are La at (0.0000, 0.0000, 0.0000), La at (0.0144, 0.2200, 0.3320), Mo at (0.0000, 0.0000, 0.5000), Mo at (0.0104, 0.1960, 0.8294), O at (0.0359, 0.9308, 0.3174), O at (0.0412, 0.4208, 0.6628), O at (0.0534, 0.5949, 0.9808), O at (0.0572, 0.8855, 0.9619) and O at (0.0947, 0.5248, 0.3030).

The volume comes out at 1685 Å³/cell. The calculation puts the electronic total energy at -396.48 eV/f.u. The calculation puts the energy relative to the elements, uncorrected at -2.709 eV per atom.